Entry 1:
DFT (meta-GGA SCAN) results for RbAg2As at its PBEsol-relaxed geometry.

Values from the calculation:
Formation enthalpy at 0 K ... -0.18 eV per atom

abc: 5.6472 5.6472 16.0826
angles: 90.00 90.00 90.00
Closest atoms and distances in Å follow each position.
Space group I4_1/amd (No. 141, origin choice 2)
Symmetry-distinct sites (fractional):
Rb  0.0000  0.2500  0.3750 x4  8 Ag 3.74, 4 As 3.99
Ag  0.0000  0.0000  0.0000 x8  2 As 2.46
As  0.0000  0.2500  0.8750 x4  4 Ag 2.46

Entry 2:
DFT (meta-GGA SCAN) results for In3W at its PBEsol-relaxed geometry.

Values from the calculation:
Formation enthalpy at 0 K ... 0.69 eV per atom

abc: 9.5623 9.5623 3.0420
angles: 90.00 90.00 120.00
Closest atoms and distances in Å follow each position.
Space group R-3m (No. 166, hexagonal axes)
Symmetry-distinct sites (fractional):
In  0.0000  0.5000  0.0000 x9  2 W 2.94, 6 In 2.94-3.04
W  0.0000  0.0000  0.0000 x3  6 In 2.94, 2 W 3.04

Entry 3:
DFT (meta-GGA SCAN) results for TaCo2H2 at its PBEsol-relaxed geometry.

abc: 3.2081 3.2081 7.9895
angles: 90.00 90.00 90.00
Closest atoms and distances in Å follow each position.
Space group I4/mmm (No. 139)
Symmetry-distinct sites (fractional):
Ta  0.0000  0.0000  0.0000 x2  8 H 2.56, 10 Co 2.61-2.71
Co  0.0000  0.0000  0.3396 x4  4 H 1.76
H  0.0000  0.5000  0.2500 x4  4 Co 1.76

Entry 4:
DFT (meta-GGA SCAN) results for TaBTeRu2 at its PBEsol-relaxed geometry.

Values from the calculation:
ΔE_f (raw) ... 2.524 eV/atom

abc: 4.6620 4.6620 5.0372
angles: 90.00 90.00 90.00
Closest atoms and distances in Å follow each position.
Space group P4/mmm (No. 123)
Symmetry-distinct sites (fractional):
Ta  0.0000  0.0000  0.0000 x1  2 Te 2.52
B  0.5000  0.5000  0.0000 x1  4 Ta 3.30, 8 Ru 3.43
Te  0.0000  0.0000  0.5000 x1  4 Ru 2.33, 2 Ta 2.52
Ru  0.0000  0.5000  0.5000 x2  2 Te 2.33

no.,VASP energy (hartree per atom),calculated density (g/cm3)
1,-0.9590,4.87
2,-1.5350,10.93
3,-0.7935,12.15
4,-1.2370,7.91